# 1
DFT (GGA-PBE) results for an optimized crystal structure of Tc3TeI.

The calculation puts the energy at -5.342 eV per atom. The value obtained for the polymorph energy (0 for the lowest one) is 0.000 eV per atom. For the density, the calculation gives 7.27 Mg/m³. The total magnetization comes out at 1.225 μB/atom. Its energy relative to the elements, uncorrected is 1.816 eV per atom. As for the volume: 125 Å³ per cell.

Unit cell a=5.005 b=5.005 c=5.005 alpha=90.00 beta=90.00 gamma=90.00
Fractional coordinates of all 5 atoms:
Tc: 0.000 0.000 0.500
Tc: 0.000 0.500 0.000
Tc: 0.500 0.000 0.000
Te: 0.000 0.000 0.000
I: 0.500 0.500 0.500

***

# 2
DFT (GGA-PBE) results for an optimized crystal structure of Dy8AlAg2.

The calculation puts the energy at -4.366 eV per atom. For the density, the calculation gives 8.38 Mg/m³. The total magnetization comes out at 0.000 μB/atom. For the formation energy, the calculation gives -1.76 eV per formula unit. As for the volume: 306 Å³ per cell.

Unit cell a=9.239 b=9.239 c=6.970 alpha=106.90 beta=106.90 gamma=32.62
Fractional coordinates of all 11 atoms:
Dy: 0.028 0.028 0.280
Dy: 0.194 0.194 0.808
Dy: 0.331 0.331 0.524
Dy: 0.407 0.407 0.039
Dy: 0.593 0.593 0.961
Dy: 0.669 0.669 0.476
Dy: 0.806 0.806 0.192
Dy: 0.972 0.972 0.720
Al: 0.500 0.500 0.500
Ag: 0.183 0.183 0.213
Ag: 0.817 0.817 0.787

***

# 3
DFT (GGA-PBE) results for an optimized crystal structure of CuPSO.

The calculation puts the energy at -5.259 eV per atom. The value obtained for the polymorph energy (0 for the lowest one) is 0.066 eV per atom. For the density, the calculation gives 3.17 Mg/m³. The total magnetization comes out at 0.000 μB/atom. Its energy relative to the elements, uncorrected is -0.611 eV per atom. As for the volume: 75 Å³ per cell.

Unit cell a=4.084 b=4.128 c=4.748 alpha=102.63 beta=104.16 gamma=95.63
Fractional coordinates of all 4 atoms:
Cu: 0.000 0.000 0.000
P: 0.418 0.107 0.762
S: 0.790 0.495 0.050
O: 0.346 0.103 0.433

***

# 4
DFT (GGA-PBE) results for an optimized crystal structure of Cu2WAu.

The calculation puts the energy at -5.688 eV per atom. The value obtained for the polymorph energy (0 for the lowest one) is 0.224 eV per atom. For the density, the calculation gives 14.37 Mg/m³. The total magnetization comes out at 0.000 μB/atom. For the formation energy, the calculation gives 1.67 eV per formula unit. As for the volume: 59 Å³ per cell.

Unit cell a=4.679 b=4.679 c=2.681 alpha=90.00 beta=90.00 gamma=90.00
Fractional coordinates of all 4 atoms:
Cu: 0.000 0.500 0.000
Cu: 0.500 0.000 0.000
W: 0.000 0.000 0.500
Au: 0.500 0.500 0.500